Record 1
Material: Nd2ErPb2
Method: DFT, PBE
State: relaxed

The structure in CIF format:
```
data_Nd2ErPb2
_chemical_formula_sum 'Nd4 Er2 Pb4'
_cell_length_a 8.2613
_cell_length_b 8.2613
_cell_length_c 4.5895
_cell_angle_alpha 90.00
_cell_angle_beta 90.00
_cell_angle_gamma 90.00
_symmetry_space_group_name_H-M 'P 4/m b m'
_symmetry_Int_Tables_number 127
_symmetry_space_group_name_Hall '-P 4 2ab'
loop_
_atom_site_label
_atom_site_fract_x
_atom_site_fract_y
_atom_site_fract_z
Nd1 0.1683 0.3317 0.0000
Er1 0.0000 0.0000 0.5000
Pb1 0.1367 0.6367 0.5000
```

Properties
- magnetic moment (Bohr magnetons per cell) = 0.0
- energy above the lowest structure with this stoichiometry (meV/atom) = 0
- density of states at the Fermi level (states/eV/atom) = 0.88


Record 2
Material: CePrAu
Method: DFT, PBE
State: relaxed

The structure in CIF format:
```
data_CePrAu
_chemical_formula_sum 'Ce2 Pr2 Au2'
_cell_length_a 3.3235
_cell_length_b 3.3235
_cell_length_c 17.0066
_cell_angle_alpha 90.00
_cell_angle_beta 90.00
_cell_angle_gamma 90.00
_symmetry_space_group_name_H-M 'I 4 m m'
_symmetry_Int_Tables_number 107
_symmetry_space_group_name_Hall 'I 4 -2'
loop_
_atom_site_label
_atom_site_fract_x
_atom_site_fract_y
_atom_site_fract_z
Ce1 0.0000 0.0000 0.0000
Pr1 0.0000 0.0000 0.3405
Au1 0.0000 0.0000 0.1677
```

Properties
- magnetic moment (Bohr magnetons per cell) = 2.7
- energy above the lowest structure with this stoichiometry (meV/atom) = 780
- density of states at the Fermi level (states/eV/atom) = 2.19


Record 3
Material: SbTe2Os
Method: DFT, PBE
State: relaxed

The structure in CIF format:
```
data_SbTe2Os
_chemical_formula_sum 'Sb4 Te8 Os4'
_cell_length_a 7.1023
_cell_length_b 7.1023
_cell_length_c 7.1023
_cell_angle_alpha 90.00
_cell_angle_beta 90.00
_cell_angle_gamma 90.00
_symmetry_space_group_name_H-M 'F -4 3 m'
_symmetry_Int_Tables_number 216
_symmetry_space_group_name_Hall 'F -4 2 3'
loop_
_atom_site_label
_atom_site_fract_x
_atom_site_fract_y
_atom_site_fract_z
Sb1 0.0000 0.0000 0.0000
Te1 0.0000 0.0000 0.5000
Te2 0.2500 0.2500 0.7500
Os1 0.2500 0.2500 0.2500
```

Properties
- magnetic moment (Bohr magnetons per cell) = 0.0
- energy relative to the elements, uncorrected (eV/atom) = 0.9024
- density of states at the Fermi level (states/eV/atom) = 0.80


Record 4
Material: YZrGe
Method: DFT, PBE
State: relaxed

The structure in CIF format:
```
data_YZrGe
_chemical_formula_sum 'Y4 Zr4 Ge4'
_cell_length_a 3.8895
_cell_length_b 5.7969
_cell_length_c 12.6039
_cell_angle_alpha 90.00
_cell_angle_beta 90.00
_cell_angle_gamma 90.00
_symmetry_space_group_name_H-M 'I m m m'
_symmetry_Int_Tables_number 71
_symmetry_space_group_name_Hall '-I 2 2'
loop_
_atom_site_label
_atom_site_fract_x
_atom_site_fract_y
_atom_site_fract_z
Y1 0.0000 0.0000 0.1963
Zr1 0.0000 0.2445 0.5000
Ge1 0.0000 0.5000 0.1302
```

Properties
- electronic total energy (eV/atom) = -7.13
- magnetic moment (Bohr magnetons per cell) = 0.0
- density of states at the Fermi level (states/eV/atom) = 0.59